Compound: YSc2Mn
Source: Alexandria via LeMat-Bulk
Functional: PBE
Structure: optimized geometry

Output
Energy relative to the elements (eV per atom): 0.266
Raw total energy (eV/atom): -6.81

```
8
Lattice="6.421 0.000 0.000 0.000 8.608 0.000 0.000 0.000 3.400" Properties=species:S:1:pos:R:3 pbc="T T T"
Y 0.000 0.000 0.000
Y 3.210 4.304 0.000
Sc 1.605 2.152 1.700
Sc 1.605 6.456 1.700
Sc 4.816 2.152 1.700
Sc 4.816 6.456 1.700
Mn 0.000 4.304 0.000
Mn 3.210 0.000 0.000
```